First-principles (PBE) data for an optimized crystal structure of Pm4AlTl3, as listed in Alexandria via LeMat-Bulk.

a b c (Å): 4.639 4.421 11.732
angles (deg): 90.00 90.00 90.00
Sites, in units of the cell vectors:
Pm  0.500  0.500  0.355
Pm  0.000  0.500  0.869
Pm  0.000  0.000  0.136
Pm  0.500  0.000  0.639
Al  0.500  0.500  0.078
Tl  0.000  0.500  0.592
Tl  0.000  0.000  0.411
Tl  0.500  0.000  0.920

Symmetry = Pmm2
Excess energy over the best structure of this formula in the dataset = 4.3 kJ/mol of atoms
Formation enthalpy at 0 K = -337 meV/atom
Energy = -4.067 eV/atom

---

First-principles (PBE) data for an optimized crystal structure of MoHRu2Rh, as listed in Alexandria via LeMat-Bulk.

a b c (Å): 3.886 3.886 3.954
angles (deg): 90.00 90.00 90.00
Sites, in units of the cell vectors:
Ru  0.000  0.500  0.000
Ru  0.500  0.000  0.000
Mo  0.000  0.000  0.500
Rh  0.500  0.500  0.500
H  0.000  0.000  0.000

Symmetry = P4/mmm
Excess energy over the best structure of this formula in the dataset = 4.0 kJ/mol of atoms
Energy = -8.041 eV/atom

---

First-principles (PBE) data for an optimized crystal structure of Rb2PmAg2Br6, as listed in Alexandria via LeMat-Bulk.

a b c (Å): 8.409 7.919 8.843
angles (deg): 114.57 90.00 122.07
Site moments in Bohr magnetons follow the coordinates.
Sites, in units of the cell vectors:
Rb  0.715  0.430  0.158  0.00
Rb  0.285  0.570  0.842  0.00
Pm  0.500  0.000  0.500  0.04
Ag  0.949  0.899  0.823  0.12
Ag  0.051  0.101  0.177  0.12
Br  0.730  0.460  0.555  0.02
Br  0.201  0.871  0.226  0.03
Br  0.330  0.129  0.774  0.03
Br  0.799  0.129  0.774  0.03
Br  0.670  0.871  0.226  0.03
Br  0.270  0.540  0.445  0.02

Symmetry = C2/m
E_form (uncorrected) = -28.5 kcal/mol of atoms
Energy = -3.276 eV/atom

---

First-principles (PBE) data for an optimized crystal structure of KNi2Pb, as listed in Alexandria via LeMat-Bulk.

a b c (Å): 3.450 3.449 7.485
angles (deg): 90.00 90.00 90.00
Sites, in units of the cell vectors:
K  0.500  0.500  0.750
Ni  0.000  0.000  0.084
Ni  0.000  0.000  0.416
Pb  0.500  0.500  0.250

Symmetry = P4/mmm
Formation enthalpy at 0 K = 475 meV/atom
Energy = -3.617 eV/atom

---

First-principles (PBE) data for an optimized crystal structure of ZrTeIrI2, as listed in Alexandria via LeMat-Bulk.

a b c (Å): 5.700 5.700 5.609
angles (deg): 90.00 90.00 90.00
Site moments in Bohr magnetons follow the coordinates.
Sites, in units of the cell vectors:
I  0.000  0.500  0.000  0.04
I  0.500  0.000  0.000  0.04
Ir  0.500  0.500  0.500  2.43
Te  0.000  0.000  0.500  0.07
Zr  0.000  0.000  0.000  0.07

Symmetry = P4/mmm
Excess energy over the best structure of this formula in the dataset = 22.4 kJ/mol of atoms
E_form (uncorrected) = 19.5 kcal/mol of atoms
Energy = -3.884 eV/atom

---

First-principles (PBE) data for an optimized crystal structure of SbTe2Br, as listed in Alexandria via LeMat-Bulk.

a b c (Å): 4.377 5.989 6.553
angles (deg): 54.18 90.00 90.00
Sites, in units of the cell vectors:
Sb  0.500  0.750  0.750
Te  0.000  0.964  0.938
Te  0.000  0.536  0.562
Br  0.500  0.250  0.250

Symmetry = P2/m
Excess energy over the best structure of this formula in the dataset = 0.0 kJ/mol of atoms
E_form (uncorrected) = -4.1 kcal/mol of atoms
Energy = -3.196 eV/atom